[1]
A plane-wave DFT calculation with PBE-GGA was carried out for a relaxed PmSmDyY3 crystal.

Cell lengths 5.074, 8.033, 10.152 Å; angles 90.00, 90.00, 108.47 degrees
Fractional positions:
Pm: 0.499 0.999 0.750
Pm: 0.501 0.001 0.250
Sm: 0.000 0.000 0.500
Sm: 0.000 0.000 0.000
Dy: 0.833 0.666 0.750
Dy: 0.167 0.334 0.250
Y: 0.667 0.334 0.500
Y: 0.333 0.666 0.500
Y: 0.333 0.666 0.000
Y: 0.667 0.334 0.000
Y: 0.167 0.335 0.750
Y: 0.833 0.665 0.250

Calculated values
DFT formation energy ... 20 meV/atom
Space group ... P2_1/m, No. 11

[2]
A plane-wave DFT calculation with PBE-GGA was carried out for a relaxed LaSe2O5 crystal.

Cell lengths 7.592, 7.114, 11.199 Å; angles 90.00, 90.00, 90.00 degrees
Each line ends with the local moment (μB).
Fractional positions:
La: 0.750 0.000 0.936  0.04
La: 0.250 0.500 0.564  0.04
La: 0.250 0.000 0.064  0.04
La: 0.750 0.500 0.436  0.04
Se: 0.037 0.389 0.860  0.16
Se: 0.537 0.111 0.640  0.16
Se: 0.963 0.889 0.640  0.16
Se: 0.463 0.611 0.860  0.16
Se: 0.963 0.611 0.140  0.16
Se: 0.463 0.889 0.360  0.16
Se: 0.037 0.111 0.360  0.16
Se: 0.537 0.389 0.140  0.16
O: 0.250 0.000 0.428  0.03
O: 0.750 0.500 0.072  0.03
O: 0.750 0.000 0.572  0.03
O: 0.250 0.500 0.928  0.03
O: 0.627 0.330 0.275  0.03
O: 0.127 0.170 0.225  0.03
O: 0.373 0.830 0.225  0.03
O: 0.873 0.670 0.275  0.03
O: 0.373 0.670 0.725  0.03
O: 0.873 0.830 0.775  0.03
O: 0.627 0.170 0.775  0.03
O: 0.127 0.330 0.725  0.03
O: 0.034 0.331 0.434  0.03
O: 0.534 0.169 0.066  0.03
O: 0.966 0.831 0.066  0.03
O: 0.466 0.669 0.434  0.03
O: 0.966 0.669 0.566  0.03
O: 0.466 0.831 0.934  0.03
O: 0.034 0.169 0.934  0.03
O: 0.534 0.331 0.566  0.03

Calculated values
Space group ... Pbcn, No. 60
Raw formation energy ... -1.4884 eV/atom

[3]
A plane-wave DFT calculation with PBE-GGA was carried out for a relaxed CrCd2P crystal.

Cell lengths 8.702, 8.702, 6.593 Å; angles 48.70, 48.70, 90.00 degrees
Each line ends with the local moment (μB).
Fractional positions:
Cr: 0.000 0.000 0.000  3.48
Cr: 0.750 0.250 0.500  3.48
P: 0.500 0.500 0.000  -0.14
P: 0.250 0.750 0.500  -0.14
Cd: 0.539 0.125 0.250  -0.04
Cd: 0.211 0.625 0.250  -0.04
Cd: 0.375 0.461 0.750  -0.04
Cd: 0.875 0.789 0.750  -0.04

Calculated values
DFT formation energy ... 312 meV/atom
Space group ... I-42d, No. 122

[4]
A plane-wave DFT calculation with PBE-GGA was carried out for a relaxed Ho5Sc5Cd crystal.

Cell lengths 5.785, 5.785, 10.835 Å; angles 90.00, 90.00, 120.00 degrees
Each line ends with the local moment (μB).
Fractional positions:
Ho: 0.667 0.333 0.177  0.26
Ho: 0.667 0.333 0.823  0.26
Ho: 0.333 0.667 0.305  0.38
Ho: 0.333 0.667 0.695  0.38
Ho: 0.000 0.000 0.000  0.08
Sc: 0.333 0.167 0.500  0.22
Sc: 0.000 0.000 0.272  0.46
Sc: 0.833 0.667 0.500  0.22
Sc: 0.833 0.167 0.500  0.22
Sc: 0.000 0.000 0.728  0.46
Cd: 0.333 0.667 0.000  0.00

Calculated values
DFT formation energy ... 235 meV/atom
Space group ... P-6m2, No. 187

[5]
A plane-wave DFT calculation with PBE-GGA was carried out for a relaxed RbCrBr4 crystal.

Cell lengths 6.499, 7.131, 8.879 Å; angles 104.95, 111.33, 90.00 degrees
Each line ends with the local moment (μB).
Fractional positions:
Rb: 0.827 0.749 0.998  0.00
Rb: 0.173 0.251 0.002  0.00
Cr: 0.500 0.000 0.500  2.95
Cr: 0.000 0.500 0.500  2.95
Br: 0.529 0.072 0.795  -0.02
Br: 0.737 0.428 0.205  -0.02
Br: 0.471 0.928 0.205  -0.02
Br: 0.263 0.572 0.795  -0.02
Br: 0.864 0.836 0.595  -0.07
Br: 0.269 0.664 0.405  -0.07
Br: 0.136 0.164 0.405  -0.07
Br: 0.731 0.336 0.595  -0.07

Calculated values
Space group ... P-1, No. 2
Raw formation energy ... -1.0225 eV/atom

[6]
A plane-wave DFT calculation with PBE-GGA was carried out for a relaxed LiTc3 crystal.

Cell lengths 5.180, 5.097, 8.648 Å; angles 90.00, 90.00, 90.00 degrees
Fractional positions:
Tc: 0.191 0.027 0.750
Tc: 0.691 0.473 0.250
Tc: 0.309 0.527 0.750
Tc: 0.809 0.973 0.250
Tc: 0.566 0.245 0.003
Tc: 0.066 0.255 0.997
Tc: 0.934 0.745 0.497
Tc: 0.434 0.755 0.503
Tc: 0.434 0.755 0.997
Tc: 0.934 0.745 0.003
Tc: 0.066 0.255 0.503
Tc: 0.566 0.245 0.497
Li: 0.695 0.960 0.750
Li: 0.195 0.540 0.250
Li: 0.805 0.460 0.750
Li: 0.305 0.040 0.250

Calculated values
DFT formation energy ... 270 meV/atom
Space group ... Pnma, No. 62

[7]
A plane-wave DFT calculation with PBE-GGA was carried out for a relaxed ScSbSe crystal.

Cell lengths 4.824, 4.824, 4.824 Å; angles 60.00, 60.00, 60.00 degrees
Fractional positions:
Sb: 0.500 0.500 0.500
Sc: 0.250 0.250 0.250
Se: 0.000 0.000 0.000

Calculated values
Space group ... F-43m, No. 216
Raw formation energy ... -0.5444 eV/atom

[8]
A plane-wave DFT calculation with PBE-GGA was carried out for a relaxed AcYInBi crystal.

Cell lengths 5.668, 5.668, 5.668 Å; angles 60.00, 60.00, 60.00 degrees
Fractional positions:
Y: 0.750 0.750 0.750
Ac: 0.250 0.250 0.250
Bi: 0.500 0.500 0.500
In: 0.000 0.000 0.000

Calculated values
DFT formation energy ... -466 meV/atom
Space group ... F-43m, No. 216

[9]
A plane-wave DFT calculation with PBE-GGA was carried out for a relaxed FeAg2Te crystal.

Cell lengths 3.376, 3.373, 7.388 Å; angles 62.73, 90.00, 90.00 degrees
Each line ends with the local moment (μB).
Fractional positions:
Ag: 0.000 0.972 0.028  -0.01
Ag: 0.500 0.237 0.262  -0.02
Fe: 0.000 0.490 0.510  2.37
Te: 0.500 0.800 0.700  -0.07

Calculated values
Space group ... Pm, No. 6
Raw formation energy ... 0.2754 eV/atom

[10]
A plane-wave DFT calculation with PBE-GGA was carried out for a relaxed NbHRh3 crystal.

Cell lengths 5.611, 5.611, 4.511 Å; angles 89.24, 89.24, 60.56 degrees
Fractional positions:
H: 0.941 0.952 0.982
H: 0.441 0.452 0.983
Nb: 0.284 0.795 0.258
Nb: 0.598 0.110 0.707
Rh: 0.777 0.288 0.236
Rh: 0.616 0.616 0.731
Rh: 0.778 0.778 0.234
Rh: 0.266 0.290 0.234
Rh: 0.104 0.127 0.731
Rh: 0.106 0.617 0.729

Calculated values
Space group ... C2/m, No. 12
Electronic total energy ... -7.491 eV/atom

[11]
A plane-wave DFT calculation with PBE-GGA was carried out for a relaxed Mg7Tl2Pb3 crystal.

Cell lengths 4.005, 4.807, 17.119 Å; angles 98.07, 90.00, 90.00 degrees
Fractional positions:
Mg: 0.000 0.424 0.847
Mg: 0.000 0.778 0.556
Mg: 0.000 0.000 0.000
Mg: 0.000 0.576 0.153
Mg: 0.500 0.070 0.140
Mg: 0.500 0.930 0.860
Mg: 0.000 0.222 0.444
Tl: 0.000 0.863 0.726
Tl: 0.000 0.137 0.274
Pb: 0.500 0.500 0.000
Pb: 0.500 0.702 0.405
Pb: 0.500 0.298 0.595

Calculated values
DFT formation energy ... 48 meV/atom
Space group ... Cmmm, No. 65

[12]
A plane-wave DFT calculation with PBE-GGA was carried out for a relaxed BaInBr2 crystal.

Cell lengths 3.972, 3.984, 9.920 Å; angles 90.07, 90.00, 90.00 degrees
Fractional positions:
Ba: 0.500 0.750 0.750
Br: 0.000 0.251 0.934
Br: 0.000 0.249 0.566
In: 0.500 0.250 0.250

Calculated values
Space group ... P2/m, No. 10
Raw formation energy ... -1.2506 eV/atom